{
  "formula": "Nb4GeB3",
  "functional": "PBE",
  "state": "optimized geometry",
  "cell": [[3.276, 0.000, 0.000], [-1.638, 2.837, 0.000], [0.000, 0.000, 23.600]],
  "species": ["Nb", "Nb", "Nb", "Nb", "Nb", "Nb", "Nb", "Nb", "Ge", "Ge", "B", "B", "B", "B", "B", "B"],
  "fractional_positions": [[0.000, 0.000, 0.165], [0.000, 0.000, 0.335], [0.000, 0.000, 0.665], [0.000, 0.000, 0.835], [0.333, 0.667, 0.055], [0.333, 0.667, 0.445], [0.667, 0.333, 0.555], [0.667, 0.333, 0.945], [0.333, 0.667, 0.250], [0.667, 0.333, 0.750], [0.000, 0.000, 0.000], [0.000, 0.000, 0.500], [0.333, 0.667, 0.613], [0.333, 0.667, 0.887], [0.667, 0.333, 0.113], [0.667, 0.333, 0.387]],
  "total_magnetization_mub_per_cell": 0.0,
  "e_tot_ev_per_atom": -8.696
}

{
  "formula": "GdMgZn",
  "functional": "PBE",
  "state": "optimized geometry",
  "cell": [[3.456, 0.000, 0.000], [-1.728, 2.993, 0.000], [0.000, 0.000, 14.143]],
  "species": ["Gd", "Gd", "Mg", "Mg", "Zn", "Zn"],
  "fractional_positions": [[0.000, 0.000, 0.000], [0.333, 0.667, 0.793], [0.333, 0.667, 0.196], [0.667, 0.333, 0.369], [0.000, 0.000, 0.628], [0.333, 0.667, 0.510]],
  "total_magnetization_mub_per_cell": 0.0,
  "e_tot_ev_per_atom": -2.449
}

{
  "formula": "AgBiSO",
  "functional": "PBE",
  "state": "optimized geometry",
  "cell": [[6.190, 0.000, 0.000], [0.000, 9.788, 0.000], [0.000, 0.000, 5.816]],
  "species": ["Ag", "Ag", "Ag", "Ag", "Bi", "Bi", "Bi", "Bi", "S", "S", "S", "S", "O", "O", "O", "O"],
  "fractional_positions": [[0.123, 0.100, 0.000], [0.377, 0.100, 0.500], [0.623, 0.900, 0.000], [0.877, 0.900, 0.500], [0.030, 0.685, 0.049], [0.470, 0.685, 0.549], [0.530, 0.315, 0.049], [0.970, 0.315, 0.549], [0.039, 0.666, 0.580], [0.461, 0.666, 0.080], [0.539, 0.334, 0.580], [0.961, 0.334, 0.080], [0.003, 0.108, 0.579], [0.497, 0.108, 0.079], [0.503, 0.892, 0.579], [0.997, 0.892, 0.079]],
  "polymorph_energy_ev_per_atom": 0.269
}

{
  "formula": "MgScCoAs",
  "functional": "PBE",
  "state": "optimized geometry",
  "cell": [[6.367, 0.000, 0.000], [0.000, 6.367, 0.000], [0.000, 0.000, 6.367]],
  "species": ["Mg", "Mg", "Mg", "Mg", "Sc", "Sc", "Sc", "Sc", "Co", "Co", "Co", "Co", "As", "As", "As", "As"],
  "fractional_positions": [[0.000, 0.000, 0.000], [0.000, 0.500, 0.500], [0.500, 0.000, 0.500], [0.500, 0.500, 0.000], [0.250, 0.250, 0.250], [0.250, 0.750, 0.750], [0.750, 0.250, 0.750], [0.750, 0.750, 0.250], [0.250, 0.250, 0.750], [0.250, 0.750, 0.250], [0.750, 0.250, 0.250], [0.750, 0.750, 0.750], [0.000, 0.000, 0.500], [0.000, 0.500, 0.000], [0.500, 0.000, 0.000], [0.500, 0.500, 0.500]],
  "polymorph_energy_ev_per_atom": 0.141,
  "total_magnetization_mub_per_cell": 3.5
}

{
  "formula": "LuNbOs2",
  "functional": "PBE",
  "state": "optimized geometry",
  "cell": [[6.458, 0.000, 0.000], [0.000, 6.458, 0.000], [0.000, 0.000, 6.458]],
  "species": ["Lu", "Lu", "Lu", "Lu", "Nb", "Nb", "Nb", "Nb", "Os", "Os", "Os", "Os", "Os", "Os", "Os", "Os"],
  "fractional_positions": [[0.000, 0.000, 0.000], [0.000, 0.500, 0.500], [0.500, 0.000, 0.500], [0.500, 0.500, 0.000], [0.250, 0.250, 0.750], [0.250, 0.750, 0.250], [0.750, 0.250, 0.250], [0.750, 0.750, 0.750], [0.000, 0.000, 0.500], [0.000, 0.500, 0.000], [0.250, 0.250, 0.250], [0.250, 0.750, 0.750], [0.500, 0.000, 0.000], [0.500, 0.500, 0.500], [0.750, 0.250, 0.750], [0.750, 0.750, 0.250]],
  "total_magnetization_mub_per_cell": 0.0,
  "e_tot_ev_per_atom": -9.142
}

{
  "formula": "Ba2Pr",
  "functional": "PBE",
  "state": "optimized geometry",
  "cell": [[0.000, 5.310, 5.310], [5.310, 0.000, 5.310], [5.310, 5.310, 0.000]],
  "species": ["Ba", "Ba", "Ba", "Ba", "Pr", "Pr"],
  "fractional_positions": [[0.000, 0.000, 0.000], [0.000, 0.000, 0.500], [0.000, 0.500, 0.000], [0.500, 0.000, 0.000], [0.375, 0.375, 0.375], [0.625, 0.625, 0.625]],
  "polymorph_energy_ev_per_atom": 0.000,
  "total_magnetization_mub_per_cell": 0.6
}

{
  "formula": "BaBeNiP2",
  "functional": "PBE",
  "state": "optimized geometry",
  "cell": [[3.842, 0.000, 0.000], [0.000, 3.842, 0.000], [0.000, 0.000, 12.310]],
  "species": ["Ba", "Ba", "Be", "Be", "Ni", "Ni", "P", "P", "P", "P"],
  "fractional_positions": [[0.000, 0.000, 0.000], [0.500, 0.500, 0.500], [0.000, 0.500, 0.250], [0.500, 0.000, 0.750], [0.000, 0.500, 0.750], [0.500, 0.000, 0.250], [0.000, 0.000, 0.345], [0.000, 0.000, 0.655], [0.500, 0.500, 0.155], [0.500, 0.500, 0.845]],
  "total_magnetization_mub_per_cell": 0.0,
  "e_tot_ev_per_atom": -5.094
}

{
  "formula": "PmSbNO",
  "functional": "PBE",
  "state": "optimized geometry",
  "cell": [[3.783, 0.000, 0.000], [0.000, 6.524, 0.000], [0.000, 0.000, 5.873]],
  "species": ["Pm", "Pm", "Sb", "Sb", "N", "N", "O", "O"],
  "fractional_positions": [[0.000, 0.158, 0.000], [0.000, 0.842, 0.500], [0.500, 0.344, 0.481], [0.500, 0.656, 0.981], [0.000, 0.195, 0.404], [0.000, 0.805, 0.904], [0.500, 0.159, 0.780], [0.500, 0.841, 0.280]],
  "polymorph_energy_ev_per_atom": 0.003,
  "total_magnetization_mub_per_cell": 0.0
}